# TbY2Pu, optimized geometry, DFT PBE
# * uncorrected energy: -7.872 eV per atom
# * E above lowest polymorph: 0.0 kJ per mole of atoms
# * V: 31.3 Å³/atom
data_TbY2Pu
_cell_length_a 3.5587
_cell_length_b 3.5587
_cell_length_c 34.2224
_cell_angle_alpha 90.00
_cell_angle_beta 90.00
_cell_angle_gamma 120.00
_space_group_name_H-M_alt 'R 3 m'
_space_group_IT_number 160
_space_group_name_Hall 'R 3 -2"'
loop_
_atom_site_label
_atom_site_type_symbol
_atom_site_fract_x
_atom_site_fract_y
_atom_site_fract_z
Tb1 Tb 0.0000 0.0000 0.0000
Y1 Y 0.0000 0.0000 0.2494
Y2 Y 0.0000 0.0000 0.4182
Pu1 Pu 0.0000 0.0000 0.8342